#1
NdTm5Sc | Alexandria | PBE | relaxed; Fermi-level density of states = 21.151 states/eV/cell; volume = 212.66 Å³/f.u.; magnetic moment = 0.61 μB per cell; space group = P2_1/m (11)
1.0
3.533 0.000 0.000
0.000 9.027 -1.126
0.000 -1.264 13.492
Nd Tm Sc
2 10 2
Direct
0.750 0.112 0.136
0.250 0.888 0.864
0.250 0.004 0.372
0.750 0.206 0.884
0.750 0.327 0.507
0.250 0.419 0.083
0.250 0.350 0.722
0.750 0.650 0.278
0.750 0.581 0.917
0.250 0.673 0.493
0.250 0.794 0.116
0.750 0.996 0.628
0.250 0.353 0.309
0.750 0.647 0.691

***

#2
NdTm5Sc | Alexandria | PBE | relaxed; Fermi-level density of states = 9.972 states/eV/cell; volume = 272.12 Å³/f.u.; magnetic moment = 0.00 μB per cell; space group = Imm2 (44)
1.0
5.963 0.000 0.000
0.000 8.030 0.000
-2.981 -4.015 5.683
Nd Tm Sc
1 5 1
Direct
0.692 0.500 0.000
0.179 0.249 0.498
0.168 0.500 0.000
0.681 0.751 0.502
0.436 0.824 0.000
0.436 0.176 0.000
0.938 0.000 0.000

***

Most stable structure - #1; separation to the second - 0.945 eV/atom.

***

#1
Nd2Tm5Sc2 | Alexandria | PBE | relaxed; Fermi-level density of states = 26.604 states/eV/cell; volume = 277.03 Å³/f.u.; magnetic moment = 0.00 μB per cell; space group = Ima2 (46)
1.0
-6.303 0.791 5.463
1.802 -5.937 2.939
8.072 7.324 1.828
Nd Tm Sc
4 10 4
Direct
0.000 0.075 0.000
0.500 0.575 0.000
0.196 0.284 0.500
0.804 0.784 0.500
0.115 0.670 0.781
0.885 0.889 0.219
0.166 0.170 0.781
0.834 0.389 0.219
0.414 0.949 0.332
0.586 0.618 0.668
0.417 0.449 0.332
0.583 0.118 0.668
0.203 0.779 0.500
0.797 0.279 0.500
0.174 0.578 0.084
0.826 0.494 0.916
0.410 0.078 0.084
0.590 0.994 0.916

***

#2
Nd2Tm5Sc2 | Alexandria | PBE | relaxed; Fermi-level density of states = 13.251 states/eV/cell; volume = 268.22 Å³/f.u.; magnetic moment = 0.00 μB per cell; space group = P-1 (2)
1.0
5.918 -0.608 0.972
-4.290 7.841 -6.413
1.341 -3.035 8.580
Nd Tm Sc
2 5 2
Direct
0.329 0.665 0.664
0.671 0.335 0.336
0.442 0.886 0.224
0.558 0.114 0.776
0.110 0.222 0.561
0.890 0.778 0.439
0.000 0.000 0.000
0.229 0.446 0.106
0.771 0.554 0.894

***

Most stable structure - #2; separation to the second - 0.171 eV/atom.

***

#1
NdTm2Sc4 | Alexandria | PBE | relaxed; Fermi-level density of states = 24.561 states/eV/cell; volume = 193.17 Å³/f.u.; magnetic moment = 0.00 μB per cell; space group = P1 (1)
1.0
-6.168 -1.017 -5.444
5.373 -7.642 1.367
-4.404 2.134 4.590
Nd Tm Sc
2 4 8
Direct
0.247 0.814 0.623
0.115 0.138 0.120
0.774 0.691 0.531
0.112 0.134 0.611
0.937 0.402 0.060
0.241 0.821 0.129
0.652 0.002 0.510
0.382 0.554 0.686
0.526 0.277 0.475
0.651 0.002 0.019
0.942 0.406 0.571
0.769 0.684 0.028
0.385 0.555 0.173
0.517 0.271 0.964

***

#2
NdTm2Sc4 | Alexandria | PBE | relaxed; Fermi-level density of states = 13.722 states/eV/cell; volume = 203.52 Å³/f.u.; magnetic moment = 3.27 μB per cell; space group = C2/m (12)
1.0
8.066 0.003 -0.005
-0.007 8.066 0.009
-4.029 -4.033 3.127
Nd Tm Sc
1 2 4
Direct
0.000 0.000 0.000
0.750 0.250 0.500
0.250 0.750 0.500
0.693 0.307 0.000
0.307 0.693 0.000
0.308 0.308 0.000
0.692 0.692 0.000

***

Most stable structure - #1; separation to the second - 0.175 eV/atom.

***

#1
NdTm6Sc | Alexandria | PBE | relaxed; Fermi-level density of states = 12.161 states/eV/cell; volume = 242.77 Å³/f.u.; magnetic moment = 0.00 μB per cell; space group = C2/m (12)
1.0
-3.084 4.106 4.155
0.058 -6.535 0.962
8.593 3.053 -1.720
Nd Tm Sc
1 6 1
Direct
0.500 0.500 0.500
0.235 0.235 0.753
0.661 0.200 0.243
0.765 0.765 0.247
0.800 0.339 0.757
0.339 0.800 0.757
0.200 0.661 0.243
0.000 0.000 0.000

***

#2
NdTm6Sc | Alexandria | PBE | relaxed; Fermi-level density of states = 10.120 states/eV/cell; volume = 238.47 Å³/f.u.; magnetic moment = 0.00 μB per cell; space group = P4/mmm (123)
1.0
4.907 0.000 0.000
0.000 6.928 -0.779
0.000 0.782 6.927
Nd Tm Sc
1 6 1
Direct
0.500 0.000 0.000
0.500 0.000 0.500
0.500 0.500 0.000
0.000 0.254 0.254
0.000 0.746 0.746
0.000 0.746 0.254
0.000 0.254 0.746
0.500 0.500 0.500

***

Most stable structure - #2; separation to the second - 0.193 eV/atom.

***

#1
Nd5Tm2Sc2 | Alexandria | PBE | relaxed; Fermi-level density of states = 13.139 states/eV/cell; volume = 284.09 Å³/f.u.; magnetic moment = 0.00 μB per cell; space group = C2/m (12)
1.0
-1.982 -2.981 -0.091
7.042 -6.905 2.369
1.126 -3.167 8.811
Nd Tm Sc
5 2 2
Direct
0.336 0.987 0.342
0.664 0.013 0.658
0.185 0.669 0.961
0.815 0.331 0.039
0.000 0.000 0.000
0.139 0.349 0.373
0.861 0.651 0.627
0.483 0.339 0.694
0.517 0.661 0.306

***

#2
Nd5Tm2Sc2 | Alexandria | PBE | relaxed; Fermi-level density of states = 31.314 states/eV/cell; volume = 287.79 Å³/f.u.; magnetic moment = 0.00 μB per cell; space group = Ima2 (46)
1.0
-3.713 2.342 -8.862
-5.111 0.215 2.198
5.750 8.870 5.453
Nd Tm Sc
10 4 4
Direct
0.030 0.430 0.783
0.970 0.647 0.217
0.253 0.930 0.783
0.747 0.147 0.217
0.283 0.195 0.316
0.717 0.879 0.684
0.533 0.695 0.316
0.467 0.379 0.684
0.297 0.787 0.500
0.703 0.287 0.500
0.000 0.037 0.000
0.500 0.537 0.000
0.084 0.287 0.500
0.916 0.787 0.500
0.209 0.583 0.093
0.791 0.491 0.907
0.384 0.083 0.093
0.616 0.991 0.907

***

Most stable structure - #1; separation to the second - 0.085 eV/atom.